HgSb2 after structural relaxation, computed with PBE.

Lattice parameters (Å, degrees): 12.633 12.633 12.633 155.34 155.34 35.16
Sites, in units of the cell vectors:
1 Sb 0.780 0.780 0.000
2 Sb 0.220 0.220 0.000
3 Sb 0.030 0.530 0.500
4 Sb 0.470 0.970 0.500
5 Sb 0.592 0.592 0.000
6 Sb 0.408 0.408 0.000
7 Sb 0.842 0.342 0.500
8 Sb 0.658 0.158 0.500
9 Hg 0.925 0.925 0.000
10 Hg 0.075 0.075 0.000
11 Hg 0.175 0.675 0.500
12 Hg 0.325 0.825 0.500

Computed properties:
**Relative energy among the computed polymorphs**: 133 meV per atom
**Density of states at the Fermi level**: 0.391 states/eV per atom
**Volume**: 29.22 Å³ per atom
**Formation energy without anion corrections**: 0.1690 eV/atom
**Crystal system**: tetragonal

=====

HgSb2 after structural relaxation, computed with PBE.

Lattice parameters (Å, degrees): 4.495 4.495 4.492 90.00 90.00 90.00
Sites, in units of the cell vectors:
1 Hg 0.000 0.000 0.000
2 Sb 0.000 0.500 0.500
3 Sb 0.500 0.000 0.500

Computed properties:
**Relative energy among the computed polymorphs**: 181 meV per atom
**Density of states at the Fermi level**: 0.384 states/eV per atom
**Volume**: 30.26 Å³ per atom
**Formation energy without anion corrections**: 0.2167 eV/atom
**Crystal system**: tetragonal